P.
First-principles (PBE) data for crystalline NbAs2PdSe at its relaxed geometry, as listed in Alexandria.

Cell: 4.997 4.997 4.941 Å, 90.00 90.00 90.00°
Fractional coordinates of all 5 atoms:
Nb (0.000, 0.000, 0.000)
As (0.000, 0.500, 0.000)
As (0.500, 0.000, 0.000)
Pd (0.500, 0.500, 0.500)
Se (0.000, 0.000, 0.500)

Output
Density = 5.8 g cm⁻³
Symmetry = P4/mmm
DOS(E_F) = 0.7074 states/eV/atom


Q.
First-principles (PBE) data for crystalline NbAs2PdSe at its relaxed geometry, as listed in Alexandria.

Cell: 4.758 4.758 4.876 Å, 90.00 90.00 90.00°
Fractional coordinates of all 5 atoms:
Nb (0.000, 0.000, 0.000)
As (0.000, 0.500, 0.500)
As (0.500, 0.000, 0.500)
Pd (0.500, 0.500, 0.500)
Se (0.500, 0.500, 0.000)

Output
Density = 6.4 g cm⁻³
Symmetry = P4/mmm
DOS(E_F) = 1.2063 states/eV/atom


Relative energies, unit kJ/mol of atoms: P 0.0; Q 34.4